Arrangement a

First-principles (PBEsol) data for La2SiSe after structural relaxation, as listed in Alexandria via LeMat-Bulk.

Computed properties:
The calculation puts the size of the total moment at 0.00 Bohr magnetons per cell.

a = 4.3058 Å, b = 4.3058 Å, c = 7.4984 Å
α = 73.31°, β = 73.31°, γ = 60.00°
Closest atoms and distances in Å follow each position.
Element x y z (fractional)
Si: 0.0000 0.0000 0.0000  6 La 3.02
Se: 0.5000 0.5000 0.5000  6 La 3.08
La: 0.2523 0.2523 0.2430  3 Si 3.02, 3 Se 3.08
La: 0.7477 0.7477 0.7570  3 Si 3.02, 3 Se 3.08

Arrangement b

First-principles (PBEsol) data for La2SiSe after structural relaxation, as listed in Alexandria via LeMat-Bulk.

Computed properties:
The calculation puts the size of the total moment at 0.00 Bohr magnetons per cell.

a = 6.5069 Å, b = 6.5069 Å, c = 8.4715 Å
α = 112.58°, β = 112.58°, γ = 90.00°
Closest atoms and distances in Å follow each position.
Element x y z (fractional)
Si: 0.7500 0.2500 0.5000  4 La 2.88
Si: 0.5000 0.5000 0.0000  4 La 2.88
Se: 0.2500 0.7500 0.5000  4 La 2.94
Se: 0.0000 0.0000 0.0000  4 La 2.94
La: 0.3834 0.8750 0.2500  2 Si 2.88, 2 Se 2.94
La: 0.8666 0.3750 0.2500  2 Si 2.88, 2 Se 2.94
La: 0.1250 0.1334 0.7500  2 Si 2.88, 2 Se 2.94
La: 0.6250 0.6166 0.7500  2 Si 2.88, 2 Se 2.94

Which is more stable than every other structure shown? arrangement a is more stable than every other one.